Record 1
The following is a DFT calculation (PBE-GGA) of CsTlF3 after structural relaxation.

Calculated values
ΔE_f (raw) = -2.128 eV per atom
space group = Pmmn

abc: 4.0207 6.3510 9.2155
angles: 90.00 115.87 90.00
With the nearest neighbours (Å) after each atom.
Fractional positions:
Cs: 0.8863 0.7500 0.6365  8 F 2.92-3.25
F: 0.1310 0.7500 0.3811  1 Tl 2.34
Tl: 0.1516 0.2500 0.9015  7 F 2.34-2.55
F: 0.6232 0.4943 0.8732  3 Tl 2.48-2.55
Cs: 0.1137 0.2500 0.3635  8 F 2.92-3.25
F: 0.6232 0.0057 0.8732  3 Tl 2.48-2.55
F: 0.3768 0.9943 0.1268  3 Tl 2.48-2.55
Tl: 0.8484 0.7500 0.0985  7 F 2.34-2.55
F: 0.8690 0.2500 0.6189  1 Tl 2.34
F: 0.3768 0.5057 0.1268  3 Tl 2.48-2.55

Record 2
The following is a DFT calculation (PBE-GGA) of FeTe after structural relaxation.

Calculated values
ΔE_f (raw) = 0.042 eV per atom
space group = Cm

abc: 6.7500 6.7500 6.1609
angles: 64.57 64.57 32.26
With the nearest neighbours (Å) after each atom.
Fractional positions:
Te: 0.6008 0.6008 0.7209  4 Fe 2.57-2.65
Fe: 0.5824 0.5824 0.3099  3 Fe 2.47-2.62, 5 Te 2.64-2.75
Fe: 0.4332 0.4332 0.1646  3 Fe 2.44-2.47, 4 Te 2.61-2.64
Te: 0.9085 0.9085 0.4848  5 Fe 2.63-2.75
Te: 0.2414 0.2414 0.1236  4 Fe 2.57-2.64
Fe: 0.0671 0.0671 0.0295  4 Fe 2.44-2.62, 4 Te 2.57-2.63

Record 3
The following is a DFT calculation (PBE-GGA) of CaSiTc after structural relaxation.

Calculated values
energy above the most stable polymorph in this dataset = 135 meV per atom
ΔE_f (raw) = -0.260 eV per atom
space group = P2_1/m

abc: 5.0479 4.2287 5.6704
angles: 90.00 106.49 90.00
With the nearest neighbours (Å) after each atom.
Fractional positions:
Ca: 0.7503 0.7500 0.0509  4 Si 2.94-3.02, 2 Ca 3.22
Ca: 0.2497 0.2500 0.9491  4 Si 2.94-3.02, 2 Ca 3.22
Si: 0.9377 0.7500 0.6057  4 Tc 2.50-2.75, 2 Si 2.59
Tc: 0.6314 0.2500 0.5300  2 Tc 2.47, 4 Si 2.50-2.75
Tc: 0.3686 0.7500 0.4700  2 Tc 2.47, 4 Si 2.50-2.75
Si: 0.0623 0.2500 0.3943  4 Tc 2.50-2.75, 2 Si 2.59

Record 4
The following is a DFT calculation (PBE-GGA) of SiBrCl2 after structural relaxation.

Calculated values
energy above the most stable polymorph in this dataset = 920 meV per atom
ΔE_f (raw) = 0.319 eV per atom
space group = I-4m2

abc: 5.9243 5.9243 5.9243
angles: 139.13 139.13 59.18
With the nearest neighbours (Å) after each atom.
Fractional positions:
Si: 0.5000 0.5000 0.0000  4 Cl 2.93
Cl: 0.0000 0.0000 0.0000  4 Si 2.93
Cl: 0.2500 0.7500 0.5000  4 Br 2.93
Br: 0.7500 0.2500 0.5000  4 Cl 2.93

Record 5
The following is a DFT calculation (PBE-GGA) of Hf2TcH2 after structural relaxation.

Calculated values
energy above the most stable polymorph in this dataset = 897 meV per atom
space group = P4/mbm

abc: 6.9221 6.9221 2.7945
angles: 90.00 90.00 90.00
With the nearest neighbours (Å) after each atom.
Fractional positions:
Hf: 0.6526 0.1526 0.0000  4 H 2.28
H: 0.1037 0.6037 0.5000  1 H 2.03
H: 0.6037 0.8963 0.5000  1 H 2.03
Hf: 0.3474 0.8474 0.0000  4 H 2.28
Hf: 0.8474 0.6526 0.0000  4 H 2.28
H: 0.3963 0.1037 0.5000  1 H 2.03
H: 0.8963 0.3963 0.5000  1 H 2.03
Tc: 0.5000 0.5000 0.0000  4 Hf 2.63, 2 Tc 2.79
Hf: 0.1526 0.3474 0.0000  4 H 2.28
Tc: 0.0000 0.0000 0.0000  4 Hf 2.63, 2 Tc 2.79

Record 6
The following is a DFT calculation (PBE-GGA) of LiNdMg2S4 after structural relaxation.

Calculated values
ΔE_f (raw) = -1.575 eV per atom
space group = Cmcm

abc: 3.8430 6.6016 12.6908
angles: 90.00 90.00 106.92
With the nearest neighbours (Å) after each atom.
Fractional positions:
S: 0.2731 0.5462 0.1156  1 Li 2.32, 1 Mg 2.51
Mg: 0.6257 0.2515 0.4453  6 S 2.51-2.78
Mg: 0.3743 0.7485 0.9453  6 S 2.51-2.78
Li: 0.1489 0.2978 0.2500  4 S 2.31-2.32
Li: 0.8511 0.7022 0.7500  4 S 2.31-2.32
S: 0.4527 0.9054 0.7500  2 Li 2.31
Mg: 0.6257 0.2515 0.0547  6 S 2.51-2.78
Nd: 0.1200 0.2400 0.7500  6 S 2.86-2.90
Mg: 0.3743 0.7485 0.5547  6 S 2.51-2.78
S: 0.0000 0.0000 0.5000  4 Mg 2.59
S: 0.0000 0.0000 0.0000  4 Mg 2.59
S: 0.7269 0.4538 0.6156  1 Li 2.32, 1 Mg 2.51
Nd: 0.8800 0.7600 0.2500  6 S 2.86-2.90
S: 0.5473 0.0946 0.2500  2 Li 2.31
S: 0.2731 0.5462 0.3844  1 Li 2.32, 1 Mg 2.51
S: 0.7269 0.4538 0.8844  1 Li 2.32, 1 Mg 2.51

no.,size of the total moment (μB per cell),V (Å³/cell),raw total energy (eV per atom)
1,0.000,211.74,-3.8946
2,6.854,134.02,-5.7599
3,0.000,116.06,-6.1903
4,0.000,88.18,-2.3785
5,0.000,133.90,-7.0249
6,0.000,308.02,-4.8724